# 1
First-principles (PBE-GGA) data for TbPm8Dy5 after structural relaxation, as listed in Alexandria via LeMat-Bulk.

Lattice parameters (Å, degrees): 9.6626 9.6626 10.2667 90.00 90.00 90.00
Space group I-4 (No. 82)
One atom of each set of equivalent atoms:
1 Tb 0.0000 0.0000 0.0000 x2
2 Pm 0.0692 0.8262 0.6530 x8
3 Pm 0.0876 0.6783 0.9966 x8
4 Dy 0.0000 0.5000 0.7500 x2
5 Dy 0.1086 0.7058 0.3236 x8

Calculated values
Crystal system: tetragonal
Energy of formation: 24.1 kJ per mole of atoms


# 2
First-principles (PBE-GGA) data for Tb2Pm5Dy4 after structural relaxation, as listed in Alexandria via LeMat-Bulk.

Lattice parameters (Å, degrees): 3.5225 9.1454 23.4659 90.00 90.00 90.00
Space group Immm (No. 71)
One atom of each set of equivalent atoms:
1 Tb 0.0000 0.0000 0.2307 x4
2 Pm 0.0000 0.2006 0.3537 x8
3 Pm 0.0000 0.5000 0.0000 x2
4 Dy 0.0000 0.0000 0.0967 x4
5 Dy 0.0000 0.3109 0.5000 x4

Calculated values
Energy above the lowest structure with this stoichiometry: 0.131 eV/atom
Crystal system: orthorhombic
Energy of formation: 19.7 kJ per mole of atoms